# 1
Below is crystalline Sm5BS4 at its relaxed geometry, with properties calculated at the GGA-PBE level.

Unit cell a=8.9555 b=8.9555 c=5.6425 alpha=90.00 beta=90.00 gamma=90.00
Space group I4/m (No. 87)
One atom of each set of equivalent atoms:
Sm 0.0000 0.0000 0.0000 (multiplicity 2)
Sm 0.0936 0.7168 0.5000 (multiplicity 8)
B 0.0000 0.0000 0.5000 (multiplicity 2)
S 0.0968 0.6983 0.0000 (multiplicity 8)

## Properties
Crystal system = tetragonal
DFT total energy = -127.524 eV per cell
Magnetization = 0.00 μB per formula unit
DOS at the Fermi energy = 0.314 states/eV per atom

=====

# 2
Below is crystalline LiYHfRu at its relaxed geometry, with properties calculated at the GGA-PBE level.

Unit cell a=6.7353 b=6.7353 c=6.7353 alpha=90.00 beta=90.00 gamma=90.00
Space group F-43m (No. 216)
One atom of each set of equivalent atoms:
Li 0.0000 0.0000 0.0000 (multiplicity 4)
Y 0.2500 0.2500 0.2500 (multiplicity 4)
Hf 0.2500 0.2500 0.7500 (multiplicity 4)
Ru 0.0000 0.0000 0.5000 (multiplicity 4)

## Properties
Crystal system = cubic
DFT total energy = -114.470 eV per cell
Magnetization = 0.00 μB per formula unit
ΔE_f = -1.0 eV per formula unit
DOS at the Fermi energy = 0.748 states/eV per atom

=====

# 3
Below is crystalline TiTl2InF6 at its relaxed geometry, with properties calculated at the GGA-PBE level.

Unit cell a=6.8278 b=6.1152 c=11.2555 alpha=90.00 beta=125.29 gamma=90.00
Space group P2_1/c (No. 14)
One atom of each set of equivalent atoms:
Ti 0.0000 0.0000 0.0000 (multiplicity 2)
Tl 0.2351 0.0179 0.7450 (multiplicity 4)
In 0.5000 0.0000 0.5000 (multiplicity 2)
F 0.1256 0.5581 0.7073 (multiplicity 4)
F 0.1654 0.7268 0.0054 (multiplicity 4)
F 0.2856 0.1680 0.0593 (multiplicity 4)

## Properties
Crystal system = monoclinic
DFT total energy = -101.045 eV per cell
Magnetization = 0.96 μB per formula unit
DOS at the Fermi energy = 0.459 states/eV per atom

=====

# 4
Below is crystalline BeInAs2 at its relaxed geometry, with properties calculated at the GGA-PBE level.

Unit cell a=6.6746 b=3.6971 c=6.5938 alpha=90.00 beta=108.67 gamma=90.00
Space group C2/m (No. 12)
One atom of each set of equivalent atoms:
Be 0.0000 0.0000 0.0000 (multiplicity 2)
In 0.0000 0.5000 0.5000 (multiplicity 2)
As 0.1972 0.5000 0.1848 (multiplicity 4)

## Properties
Crystal system = monoclinic
DFT total energy = -30.668 eV per cell
Magnetization = 0.00 μB per formula unit
ΔE_f = 0.4 eV per formula unit
DOS at the Fermi energy = 0.311 states/eV per atom

=====

# 5
Below is crystalline ZrGa2Au4 at its relaxed geometry, with properties calculated at the GGA-PBE level.

Unit cell a=4.4428 b=4.4428 c=23.3107 alpha=90.00 beta=90.00 gamma=120.00
Space group R-3m (No. 166, hexagonal axes)
One atom of each set of equivalent atoms:
Zr 0.0000 0.0000 0.0000 (multiplicity 3)
Ga 0.0000 0.0000 0.2486 (multiplicity 6)
Au 0.0000 0.0000 0.1332 (multiplicity 6)
Au 0.0000 0.0000 0.3940 (multiplicity 6)

## Properties
Crystal system = trigonal
DFT total energy = -89.554 eV per cell
Magnetization = 0.00 μB per formula unit
ΔE_f = -2.1 eV per formula unit
DOS at the Fermi energy = 0.553 states/eV per atom

=====

# 6
Below is crystalline PmIn2Pd3 at its relaxed geometry, with properties calculated at the GGA-PBE level.

Unit cell a=8.3109 b=14.4173 c=4.8747 alpha=90.00 beta=125.54 gamma=90.00
Space group C2/c (No. 15)
One atom of each set of equivalent atoms:
Pm 0.0000 0.0859 0.2500 (multiplicity 4)
In 0.0000 0.2442 0.7500 (multiplicity 4)
In 0.0000 0.4175 0.2500 (multiplicity 4)
Pd 0.2298 0.4134 0.9797 (multiplicity 8)
Pd 0.2500 0.2500 0.5000 (multiplicity 4)

## Properties
Energy above the lowest structure with this stoichiometry = 110 meV per atom
Crystal system = monoclinic
DFT total energy = -117.394 eV per cell
Magnetization = 0.00 μB per formula unit
ΔE_f = -3.5 eV per formula unit
DOS at the Fermi energy = 0.441 states/eV per atom

=====

# 7
Below is crystalline LiGaHg6 at its relaxed geometry, with properties calculated at the GGA-PBE level.

Unit cell a=7.0175 b=10.8344 c=6.2667 alpha=90.00 beta=123.03 gamma=90.00
Space group C2/m (No. 12)
One atom of each set of equivalent atoms:
Li 0.0000 0.0000 0.0000 (multiplicity 2)
Ga 0.0000 0.5000 0.5000 (multiplicity 2)
Hg 0.2426 0.2178 0.2444 (multiplicity 8)
Hg 0.2457 0.0000 0.7495 (multiplicity 4)

## Properties
Crystal system = monoclinic
DFT total energy = -14.146 eV per cell
Magnetization = 0.00 μB per formula unit
ΔE_f = -0.3 eV per formula unit
DOS at the Fermi energy = 0.341 states/eV per atom

=====

# 8
Below is crystalline Pr5SmMg5 at its relaxed geometry, with properties calculated at the GGA-PBE level.

Unit cell a=18.4338 b=5.9490 c=6.8125 alpha=90.00 beta=111.55 gamma=90.00
Space group C2/m (No. 12)
One atom of each set of equivalent atoms:
Pr 0.0000 0.0000 0.0000 (multiplicity 2)
Pr 0.1324 0.5000 0.1340 (multiplicity 4)
Pr 0.1844 0.5000 0.6853 (multiplicity 4)
Sm 0.0000 0.0000 0.5000 (multiplicity 2)
Mg 0.0000 0.5000 0.5000 (multiplicity 2)
Mg 0.1684 0.0000 0.4365 (multiplicity 4)
Mg 0.1682 0.0000 0.9016 (multiplicity 4)

## Properties
Crystal system = monoclinic
DFT total energy = -70.519 eV per cell
Magnetization = 0.18 μB per formula unit
ΔE_f = 1.3 eV per formula unit
DOS at the Fermi energy = 1.209 states/eV per atom